Record 1
Compound: YCr4P
Source: Alexandria
Functional: PBE
Structure: relaxed

Summary:
As for the formation energy: 343.8 meV/atom. The calculation puts the density of states at the Fermi level at 5.072 states/eV/f.u. Its electronic total energy is -0.296 hartree per atom.

Unit cell a=7.003 b=7.003 c=7.003 alpha=90.00 beta=90.00 gamma=90.00
Space group F-43m (No. 216)
Symmetry-distinct sites (fractional):
Y 0.000 0.000 0.000 [4 per cell]
Cr 0.122 0.122 0.622 [16 per cell]
P 0.250 0.250 0.250 [4 per cell]

=====

Record 2
Compound: YCrP3
Source: Alexandria
Functional: PBE
Structure: relaxed

Summary:
As for the formation energy: -200.6 meV/atom. For the energy relative to the lowest polymorph listed for this composition, the calculation gives 0.000 eV/atom. The calculation puts the density of states at the Fermi level at 3.842 states/eV/f.u. Its electronic total energy is -0.245 hartree per atom.

Unit cell a=4.522 b=4.522 c=4.522 alpha=90.00 beta=90.00 gamma=90.00
Space group Pm-3m (No. 221)
Symmetry-distinct sites (fractional):
Y 0.000 0.000 0.000 [1 per cell]
Cr 0.500 0.500 0.500 [1 per cell]
P 0.000 0.500 0.500 [3 per cell]

=====

Record 3
Compound: Zn2CrP
Source: Alexandria
Functional: PBE
Structure: relaxed

Summary:
As for the formation energy: 122.5 meV/atom. The calculation puts the density of states at the Fermi level at 2.679 states/eV/f.u. Its electronic total energy is -0.157 hartree per atom.

Unit cell a=3.539 b=3.930 c=8.028 alpha=90.00 beta=90.00 gamma=90.00
Space group Imm2 (No. 44)
Symmetry-distinct sites (fractional):
Zn 0.000 0.000 0.000 [2 per cell]
Zn 0.000 0.500 0.236 [2 per cell]
Cr 0.000 0.000 0.475 [2 per cell]
P 0.000 0.500 0.759 [2 per cell]

=====

electronic total energy of number 2 (YCrP3)? -0.245 hartree per atom

=====

Which formula does entry 1 have? YCr4P

=====

Number 2 is which compound? YCrP3